Record 1
# Na2TbSn3Se6 (PBE, relaxed)
data_Na2TbSn3Se6
_space_group_name_H-M_alt 'C 1 2/m 1'
_space_group_IT_number 12
_cell_length_a 7.3019
_cell_length_b 12.6445
_cell_length_c 7.3893
_cell_angle_alpha 90.00
_cell_angle_beta 109.18
_cell_angle_gamma 90.00
loop_
_space_group_symop_operation_xyz
'x,y,z'
'-x,-y,-z'
'-x,y,-z'
'x,-y,z'
'x+1/2,y+1/2,z'
'-x+1/2,-y+1/2,-z'
'-x+1/2,y+1/2,-z'
'x+1/2,-y+1/2,z'
loop_
_atom_site_label
_atom_site_type_symbol
_atom_site_fract_x
_atom_site_fract_y
_atom_site_fract_z
Na1 Na 0.0000 0.1675 0.0000
Tb1 Tb 0.0000 0.5000 0.0000
Sn1 Sn 0.0000 0.0000 0.5000
Sn2 Sn 0.0000 0.3364 0.5000
Se1 Se 0.2326 0.5000 0.7447
Se2 Se 0.2419 0.3428 0.2451
# **ΔE_f (raw)**: -907 meV per atom

Record 2
# B (PBE, relaxed)
data_B
_space_group_name_H-M_alt 'I 4/m m m'
_space_group_IT_number 139
_space_group_name_Hall '-I 4 2'
_cell_length_a 2.7301
_cell_length_b 2.7301
_cell_length_c 7.9880
_cell_angle_alpha 90.00
_cell_angle_beta 90.00
_cell_angle_gamma 90.00
loop_
_atom_site_label
_atom_site_type_symbol
_atom_site_fract_x
_atom_site_fract_y
_atom_site_fract_z
B1 B 0.0000 0.0000 0.1046
B2 B 0.0000 0.5000 0.2500
# **Relative energy among the computed polymorphs**: 230.0 meV per atom

Record 3
This record from the Alexandria database describes a relaxed structure of LiHfSn. The functional is PBE.

```
data_LiHfSn
_space_group_name_H-M_alt 'I 4/m m m'
_space_group_IT_number 139
_space_group_name_Hall '-I 4 2'
_cell_length_a 3.1570
_cell_length_b 3.1570
_cell_length_c 25.0621
_cell_angle_alpha 90.00
_cell_angle_beta 90.00
_cell_angle_gamma 90.00
loop_
_atom_site_label
_atom_site_type_symbol
_atom_site_fract_x
_atom_site_fract_y
_atom_site_fract_z
Li1 Li 0.0000 0.0000 0.2160
Hf1 Hf 0.0000 0.0000 0.0606
Sn1 Sn 0.0000 0.0000 0.3538
```

Record 4
# Ce2SmTmS4 (PBE, relaxed)
data_Ce2SmTmS4
_space_group_name_H-M_alt 'P 1 2/m 1'
_space_group_IT_number 10
_cell_length_a 6.8750
_cell_length_b 3.9548
_cell_length_c 6.9342
_cell_angle_alpha 90.00
_cell_angle_beta 109.19
_cell_angle_gamma 90.00
loop_
_space_group_symop_operation_xyz
'x,y,z'
'-x,-y,-z'
'-x,y,-z'
'x,-y,z'
loop_
_atom_site_label
_atom_site_type_symbol
_atom_site_fract_x
_atom_site_fract_y
_atom_site_fract_z
Ce1 Ce 0.0000 0.0000 0.0000
Ce2 Ce 0.5000 0.5000 0.0000
Sm1 Sm 0.0000 0.5000 0.5000
Tm1 Tm 0.5000 0.0000 0.5000
S1 S 0.2550 0.0000 0.7423
S2 S 0.2617 0.5000 0.2631
# **ΔE_f (raw)**: -2016 meV per atom

Record 5
# Li2CoIr (PBE, relaxed)
data_Li2CoIr
_space_group_name_H-M_alt 'F m -3 m'
_space_group_IT_number 225
_space_group_name_Hall '-F 4 2 3'
_cell_length_a 5.7516
_cell_length_b 5.7516
_cell_length_c 5.7516
_cell_angle_alpha 90.00
_cell_angle_beta 90.00
_cell_angle_gamma 90.00
loop_
_atom_site_label
_atom_site_type_symbol
_atom_site_fract_x
_atom_site_fract_y
_atom_site_fract_z
Li1 Li 0.2500 0.2500 0.2500
Co1 Co 0.0000 0.0000 0.0000
Ir1 Ir 0.0000 0.0000 0.5000
# **Relative energy among the computed polymorphs**: 362.7 meV per atom

Record 6
This record from the Alexandria database describes a relaxed structure of Ho3Tm3Pd2. The functional is PBE.

```
data_Ho3Tm3Pd2
_space_group_name_H-M_alt 'C m c m'
_space_group_IT_number 63
_space_group_name_Hall '-C 2c 2'
_cell_length_a 3.7935
_cell_length_b 12.7795
_cell_length_c 17.6632
_cell_angle_alpha 90.00
_cell_angle_beta 90.00
_cell_angle_gamma 90.00
loop_
_atom_site_label
_atom_site_type_symbol
_atom_site_fract_x
_atom_site_fract_y
_atom_site_fract_z
Ho1 Ho 0.0000 0.0495 0.1016
Ho2 Ho 0.0000 0.3449 0.2500
Tm1 Tm 0.0000 0.3443 0.0435
Tm2 Tm 0.0000 0.3902 0.7500
Pd1 Pd 0.0000 0.2571 0.6285
```

Number 1: E -4.256 eV per atom. Number 2: E -6.447 eV per atom. Number 3: E -5.342 eV per atom. Number 4: E -6.712 eV per atom. Number 5: E -4.651 eV per atom. Number 6: E -5.082 eV per atom.